A geometry-optimized CoTePdO structure, computed with PBE+U.

Results
Uncorrected energy: -0.1722 hartree per atom
Symmetry: No. 29

Unit cell a=6.2522 b=7.4802 c=5.5453 alpha=90.00 beta=90.00 gamma=90.00
Atoms (fractional coordinates):
Co (0.1184, 0.2143, 0.0000)
Co (0.3816, 0.2143, 0.5000)
Co (0.6184, 0.7857, 0.0000)
Co (0.8816, 0.7857, 0.5000)
Te (0.0220, 0.8721, 0.9687)
Te (0.4780, 0.8721, 0.4687)
Te (0.5220, 0.1279, 0.9687)
Te (0.9780, 0.1279, 0.4687)
Pd (0.2260, 0.6422, 0.2423)
Pd (0.2740, 0.6422, 0.7423)
Pd (0.7260, 0.3578, 0.2423)
Pd (0.7740, 0.3578, 0.7423)
O (0.1164, 0.4582, 0.9787)
O (0.3836, 0.4582, 0.4787)
O (0.6164, 0.5418, 0.9787)
O (0.8836, 0.5418, 0.4787)